Record 1
Material: Sr4RhI
Method: DFT, PBE-GGA
State: optimized geometry

Structure (POSCAR):
```
Sr4RhI
1.0
4.8156 -8.5511 0.0000
4.8156 8.5511 0.0000
-4.0750 0.0000 6.4446
Sr Rh I
8 2 2
direct
0.0216 0.3990 0.7329 Sr
0.1353 0.2534 0.2083 Sr
0.2534 0.1353 0.7083 Sr
0.3990 0.0216 0.2329 Sr
0.6010 0.9784 0.7671 Sr
0.7466 0.8647 0.2917 Sr
0.8647 0.7466 0.7917 Sr
0.9784 0.6010 0.2671 Sr
0.0722 0.9278 0.2500 Rh
0.9278 0.0722 0.7500 Rh
0.4393 0.5607 0.7500 I
0.5607 0.4393 0.2500 I
```

Summary:
Its crystal system is monoclinic. As for the symmetry: C2/c, No. 15. The total energy is -0.1141 hartree per atom.


Record 2
Material: SrRhI
Method: DFT, PBE-GGA
State: optimized geometry

Structure (POSCAR):
```
SrRhI
1.0
-2.9885 4.2683 3.3563
2.9885 -4.2683 3.3563
2.9885 4.2683 -3.3563
Sr Rh I
2 2 2
direct
0.0000 0.0000 0.0000 Sr
0.5000 0.0000 0.5000 Sr
0.5000 0.0000 0.0000 Rh
0.5000 0.5000 0.5000 Rh
0.1849 0.4349 0.7500 I
0.8151 0.5651 0.2500 I
```

Summary:
Its crystal system is orthorhombic. As for the symmetry: Imma, No. 74. The total energy is -0.1535 hartree per atom.


Record 3
Material: SrRhI
Method: DFT, PBE-GGA
State: optimized geometry

Structure (POSCAR):
```
SrRhI
1.0
4.3294 0.0000 0.0000
0.0000 5.9676 0.0000
-0.0214 0.0000 6.7557
Sr Rh I
2 2 2
direct
0.0012 0.2500 0.2264 Sr
0.9988 0.7500 0.7736 Sr
0.5000 0.0000 0.0000 Rh
0.5000 0.5000 0.0000 Rh
0.4978 0.2500 0.6841 I
0.5022 0.7500 0.3159 I
```

Summary:
Its crystal system is monoclinic. As for the symmetry: P2_1/m, No. 11. The total energy is -0.1537 hartree per atom.


Record 4
Material: Sr3RhI3
Method: DFT, PBE-GGA
State: optimized geometry

Structure (POSCAR):
```
Sr3RhI3
1.0
-6.4917 6.4917 6.4917
6.4917 -6.4917 6.4917
6.4917 6.4917 -6.4917
Sr Rh I
12 4 12
direct
0.0158 0.0316 0.2658 Sr
0.0158 0.4842 0.7500 Sr
0.0316 0.2658 0.0158 Sr
0.2342 0.2658 0.7500 Sr
0.2342 0.4684 0.4842 Sr
0.2658 0.0158 0.0316 Sr
0.2658 0.7500 0.2342 Sr
0.4684 0.4842 0.2342 Sr
0.4842 0.2342 0.4684 Sr
0.4842 0.7500 0.0158 Sr
0.7500 0.0158 0.4842 Sr
0.7500 0.2342 0.2658 Sr
0.0000 0.2500 0.5000 Rh
0.2500 0.2500 0.2500 Rh
0.2500 0.5000 0.0000 Rh
0.5000 0.0000 0.2500 Rh
0.2500 0.7543 0.7457 I
0.2500 0.9957 0.5043 I
0.5043 0.2500 0.9957 I
0.5043 0.7543 0.5086 I
0.5086 0.5043 0.7543 I
0.7457 0.2500 0.7543 I
0.7457 0.9957 0.9914 I
0.7543 0.5086 0.5043 I
0.7543 0.7457 0.2500 I
0.9914 0.7457 0.9957 I
0.9957 0.5043 0.2500 I
0.9957 0.9914 0.7457 I
```

Summary:
Its crystal system is cubic. As for the symmetry: I4_132, No. 214. The total energy is -0.1317 hartree per atom.


Record 5
Material: SrRhI
Method: DFT, PBE-GGA
State: optimized geometry

Structure (POSCAR):
```
SrRhI
1.0
4.8933 0.0000 0.0000
-1.1043 4.8029 0.0000
-1.4811 -2.0664 8.8491
Sr Rh I
2 2 2
direct
0.0000 0.0000 0.0000 Sr
0.2391 0.2747 0.4431 Sr
0.0761 0.6769 0.2405 Rh
0.6481 0.0984 0.2307 Rh
0.5270 0.5520 0.1709 I
0.8500 0.3769 0.7258 I
```

Summary:
Its crystal system is triclinic. As for the symmetry: P1, No. 1. The total energy is -0.1517 hartree per atom.


Record 6
Material: SrRhI
Method: DFT, PBE-GGA
State: optimized geometry

Structure (POSCAR):
```
SrRhI
1.0
5.2510 0.0000 0.0000
0.0000 5.2510 0.0000
0.0000 0.0000 6.1984
Sr Rh I
2 2 2
direct
0.2500 0.2500 0.1422 Sr
0.7500 0.7500 0.8578 Sr
0.2500 0.2500 0.6632 Rh
0.7500 0.7500 0.3368 Rh
0.2500 0.7500 0.5000 I
0.7500 0.2500 0.5000 I
```

Summary:
Its crystal system is tetragonal. As for the symmetry: P4/nmm, No. 129. The total energy is -0.1373 hartree per atom.


Record 7
Material: SrRhI
Method: DFT, PBE-GGA
State: optimized geometry

Structure (POSCAR):
```
SrRhI
1.0
5.6106 -2.0390 0.0000
5.6106 2.0390 0.0000
-1.1822 0.0000 7.6392
Sr Rh I
2 2 2
direct
0.0000 0.0000 0.0000 Sr
0.6542 0.6542 0.4215 Sr
0.3562 0.3562 0.1959 Rh
0.9377 0.9377 0.4028 Rh
0.4064 0.4064 0.6308 I
0.7264 0.7264 0.0069 I
```

Summary:
Its crystal system is monoclinic. As for the symmetry: Cm, No. 8. The total energy is -0.1518 hartree per atom.


Record 8
Material: SrRhI
Method: DFT, PBE-GGA
State: optimized geometry

Structure (POSCAR):
```
SrRhI
1.0
11.7142 0.0000 0.0000
0.0000 2.6407 2.7596
0.0000 -2.6407 2.7596
Sr Rh I
2 2 2
direct
0.1527 0.0000 0.0000 Sr
0.8473 0.0000 0.0000 Sr
0.0000 0.4948 0.4948 Rh
0.5000 0.8554 0.8554 Rh
0.3357 0.5214 0.5214 I
0.6643 0.5214 0.5214 I
```

Summary:
Its crystal system is orthorhombic. As for the symmetry: Amm2, No. 38. The total energy is -0.1356 hartree per atom.


Record 9
Material: SrRhI
Method: DFT, PBE-GGA
State: optimized geometry

Structure (POSCAR):
```
SrRhI
1.0
4.4217 0.0000 0.0000
-0.0008 5.8251 0.0000
-2.2063 -0.0183 7.1474
Sr Rh I
2 2 2
direct
0.1049 0.2509 0.2106 Sr
0.8951 0.7491 0.7894 Sr
0.5000 0.0000 0.0000 Rh
0.5000 0.5000 0.0000 Rh
0.3489 0.2491 0.6967 I
0.6511 0.7509 0.3033 I
```

Summary:
Its crystal system is triclinic. As for the symmetry: P-1, No. 2. The total energy is -0.1537 hartree per atom.


Record 10
Material: SrRhI
Method: DFT, PBE-GGA
State: optimized geometry

Structure (POSCAR):
```
SrRhI
1.0
4.8198 0.0000 0.0000
0.0000 4.3888 0.0000
-2.3954 0.0000 8.7876
Sr Rh I
2 2 2
direct
0.0000 0.0000 0.0000 Sr
0.2308 0.0000 0.4624 Sr
0.1178 0.5000 0.2352 Rh
0.5303 0.5000 0.0594 Rh
0.3776 0.5000 0.7631 I
0.6776 0.5000 0.3554 I
```

Summary:
Its crystal system is monoclinic. As for the symmetry: Pm, No. 6. The total energy is -0.1512 hartree per atom.


Record 11
Material: SrRhI
Method: DFT, PBE-GGA
State: optimized geometry

Structure (POSCAR):
```
SrRhI
1.0
2.2242 -9.8913 0.0000
2.2242 9.8913 0.0000
0.0000 0.0000 4.2650
Sr Rh I
2 2 2
direct
0.0869 0.9131 0.7500 Sr
0.9131 0.0869 0.2500 Sr
0.4672 0.5328 0.7500 Rh
0.5328 0.4672 0.2500 Rh
0.3283 0.6717 0.7500 I
0.6717 0.3283 0.2500 I
```

Summary:
Its crystal system is orthorhombic. As for the symmetry: Cmcm, No. 63. The total energy is -0.1578 hartree per atom.


Record 12
Material: Sr4RhI4
Method: DFT, PBE-GGA
State: optimized geometry

Structure (POSCAR):
```
Sr4RhI4
1.0
8.1665 -2.2675 0.0000
8.1665 2.2675 0.0000
-6.1075 0.0000 9.8832
Sr Rh I
4 1 4
direct
0.0780 0.0780 0.4077 Sr
0.3257 0.3257 0.2384 Sr
0.6743 0.6743 0.7616 Sr
0.9220 0.9220 0.5923 Sr
0.5000 0.5000 0.5000 Rh
0.1137 0.1137 0.9164 I
0.3023 0.3023 0.6983 I
0.6977 0.6977 0.3017 I
0.8863 0.8863 0.0836 I
```

Summary:
Its crystal system is monoclinic. As for the symmetry: C2/m, No. 12. The total energy is -0.1274 hartree per atom.


Record 13
Material: SrRhI
Method: DFT, PBE-GGA
State: optimized geometry

Structure (POSCAR):
```
SrRhI
1.0
5.7700 -2.1298 0.0000
5.7700 2.1298 0.0000
-5.1640 0.0000 8.0195
Sr Rh I
2 2 2
direct
0.0000 0.0000 0.0000 Sr
0.1183 0.1183 0.6361 Sr
0.2931 0.2931 0.0292 Rh
0.6685 0.6685 0.9006 Rh
0.3983 0.3983 0.6365 I
0.5480 0.5480 0.3138 I
```

Summary:
Its crystal system is monoclinic. As for the symmetry: Cm, No. 8. The total energy is -0.1523 hartree per atom.


Record 14
Material: SrRhI
Method: DFT, PBE-GGA
State: optimized geometry

Structure (POSCAR):
```
SrRhI
1.0
2.0899 -5.1962 0.0000
2.0899 5.1962 0.0000
0.0000 0.0000 7.3752
Sr Rh I
2 2 2
direct
0.2128 0.7872 0.7500 Sr
0.7872 0.2128 0.2500 Sr
0.0763 0.9237 0.2500 Rh
0.9237 0.0763 0.7500 Rh
0.5000 0.5000 0.0000 I
0.5000 0.5000 0.5000 I
```

Summary:
Its crystal system is orthorhombic. As for the symmetry: Cmcm, No. 63. The total energy is -0.1415 hartree per atom.


Record 15
Material: SrTeRhI2
Method: DFT, PBE-GGA
State: optimized geometry

Structure (POSCAR):
```
SrTeRhI2
1.0
6.2642 0.0000 0.0000
0.0000 6.2642 0.0000
0.0000 0.0000 6.4317
Sr Te Rh I
1 1 1 2
direct
0.0000 0.0000 0.0000 Sr
0.0000 0.0000 0.5000 Te
0.5000 0.5000 0.5000 Rh
0.0000 0.5000 0.0000 I
0.5000 0.0000 0.0000 I
```

Summary:
The energy above the most stable polymorph in this dataset is 0.966 eV per atom. Its crystal system is tetragonal. As for the symmetry: P4/mmm, No. 123. The total energy is -0.0990 hartree per atom.


Record 16
Material: SrTeRhI2
Method: DFT, PBE-GGA
State: optimized geometry

Structure (POSCAR):
```
SrTeRhI2
1.0
5.4147 0.0000 0.0000
0.0000 5.4147 0.0000
0.0000 0.0000 5.4870
Sr Te Rh I
1 1 1 2
direct
0.0000 0.0000 0.0000 Sr
0.5000 0.5000 0.0000 Te
0.5000 0.5000 0.5000 Rh
0.0000 0.5000 0.5000 I
0.5000 0.0000 0.5000 I
```

Summary:
The energy above the most stable polymorph in this dataset is 0.000 eV per atom. Its crystal system is tetragonal. As for the symmetry: P4/mmm, No. 123. The total energy is -0.1345 hartree per atom.


Record 17
Material: SrTe2RhI
Method: DFT, PBE-GGA
State: optimized geometry

Structure (POSCAR):
```
SrTe2RhI
1.0
5.3419 0.0000 0.0000
0.0000 5.3419 0.0000
0.0000 0.0000 5.4837
Sr Te Rh I
1 2 1 1
direct
0.0000 0.0000 0.0000 Sr
0.0000 0.5000 0.5000 Te
0.5000 0.0000 0.5000 Te
0.5000 0.5000 0.5000 Rh
0.5000 0.5000 0.0000 I
```

Summary:
The energy above the most stable polymorph in this dataset is 0.000 eV per atom. Its crystal system is tetragonal. As for the symmetry: P4/mmm, No. 123. The total energy is -0.1436 hartree per atom.


Record 18
Material: SrTe2RhI
Method: DFT, PBE-GGA
State: optimized geometry

Structure (POSCAR):
```
SrTe2RhI
1.0
6.2410 0.0000 0.0000
0.0000 6.2410 0.0000
0.0000 0.0000 6.2461
Sr Te Rh I
1 2 1 1
direct
0.0000 0.0000 0.0000 Sr
0.0000 0.5000 0.0000 Te
0.5000 0.0000 0.0000 Te
0.5000 0.5000 0.5000 Rh
0.0000 0.0000 0.5000 I
```

Summary:
The energy above the most stable polymorph in this dataset is 1.188 eV per atom. Its crystal system is tetragonal. As for the symmetry: P4/mmm, No. 123. The total energy is -0.0999 hartree per atom.


Record 19
Material: Sr2TlRhI
Method: DFT, PBE-GGA
State: optimized geometry

Structure (POSCAR):
```
Sr2TlRhI
1.0
5.8651 0.0000 0.0000
0.0000 5.8651 0.0000
0.0000 0.0000 5.2399
Sr Tl Rh I
2 1 1 1
direct
0.0000 0.5000 0.0000 Sr
0.5000 0.0000 0.0000 Sr
0.0000 0.0000 0.5000 Tl
0.0000 0.0000 0.0000 Rh
0.5000 0.5000 0.5000 I
```

Summary:
Its crystal system is tetragonal. As for the symmetry: P4/mmm, No. 123. The total energy is -0.1292 hartree per atom.


Record 20
Material: Sr2ZnRhI
Method: DFT, PBE-GGA
State: optimized geometry

Structure (POSCAR):
```
Sr2ZnRhI
1.0
5.8413 0.0000 0.0000
0.0000 5.8413 0.0000
0.0000 0.0000 4.8359
Sr Zn Rh I
2 1 1 1
direct
0.0000 0.5000 0.0000 Sr
0.5000 0.0000 0.0000 Sr
0.0000 0.0000 0.5000 Zn
0.0000 0.0000 0.0000 Rh
0.5000 0.5000 0.5000 I
```

Summary:
Its crystal system is tetragonal. As for the symmetry: P4/mmm, No. 123. The total energy is -0.1209 hartree per atom.


Record 21
Material: TaRh3I
Method: DFT, PBE-GGA
State: optimized geometry

Structure (POSCAR):
```
TaRh3I
1.0
4.8063 0.0000 0.0000
0.0000 4.8063 0.0000
0.0000 0.0000 4.8063
Ta Rh I
1 3 1
direct
0.0000 0.0000 0.0000 Ta
0.0000 0.0000 0.5000 Rh
0.0000 0.5000 0.0000 Rh
0.5000 0.0000 0.0000 Rh
0.5000 0.5000 0.5000 I
```

Summary:
The energy above the most stable polymorph in this dataset is 0.000 eV per atom. Its crystal system is cubic. As for the symmetry: Pm-3m, No. 221. The total energy is -0.2273 hartree per atom.


Record 22
Material: TaRh3I
Method: DFT, PBE-GGA
State: optimized geometry

Structure (POSCAR):
```
TaRh3I
1.0
4.7492 0.0000 0.0000
0.0000 4.7492 0.0000
0.0000 0.0000 4.7492
Ta Rh I
1 3 1
direct
0.0000 0.0000 0.0000 Ta
0.0000 0.5000 0.5000 Rh
0.5000 0.0000 0.5000 Rh
0.5000 0.5000 0.0000 Rh
0.5000 0.5000 0.5000 I
```

Summary:
The energy above the most stable polymorph in this dataset is 0.590 eV per atom. Its crystal system is cubic. As for the symmetry: Pm-3m, No. 221. The total energy is -0.2056 hartree per atom.


Record 23
Material: TaRhI2
Method: DFT, PBE-GGA
State: optimized geometry

Structure (POSCAR):
```
TaRhI2
1.0
0.0000 3.4500 3.4500
3.4500 0.0000 3.4500
3.4500 3.4500 0.0000
Ta Rh I
1 1 2
direct
0.0000 0.0000 0.0000 Ta
0.5000 0.5000 0.5000 Rh
0.2500 0.2500 0.2500 I
0.7500 0.7500 0.7500 I
```

Summary:
The energy above the most stable polymorph in this dataset is 0.000 eV per atom. Its crystal system is cubic. As for the symmetry: Fm-3m, No. 225. The total energy is -0.1774 hartree per atom.


Record 24
Material: TaRh2I
Method: DFT, PBE-GGA
State: optimized geometry

Structure (POSCAR):
```
TaRh2I
1.0
0.0000 3.2990 3.2990
3.2990 0.0000 3.2990
3.2990 3.2990 0.0000
Ta Rh I
1 2 1
direct
0.0000 0.0000 0.0000 Ta
0.2500 0.2500 0.2500 Rh
0.7500 0.7500 0.7500 Rh
0.5000 0.5000 0.5000 I
```

Summary:
The energy above the most stable polymorph in this dataset is 0.079 eV per atom. Its crystal system is cubic. As for the symmetry: Fm-3m, No. 225. The total energy is -0.2400 hartree per atom.


Record 25
Material: TaRhI2
Method: DFT, PBE-GGA
State: optimized geometry

Structure (POSCAR):
```
TaRhI2
1.0
-3.1671 3.1671 5.6985
3.1671 -3.1671 5.6985
3.1671 3.1671 -5.6985
Ta Rh I
2 2 4
direct
0.0000 0.0000 0.0000 Ta
0.7500 0.2500 0.5000 Ta
0.2500 0.7500 0.5000 Rh
0.5000 0.5000 0.0000 Rh
0.1384 0.6250 0.0134 I
0.3750 0.3884 0.5134 I
0.6116 0.1250 0.9866 I
0.8750 0.8616 0.4866 I
```

Summary:
The energy above the most stable polymorph in this dataset is 0.110 eV per atom. Its crystal system is tetragonal. As for the symmetry: I-42d, No. 122. The total energy is -0.1734 hartree per atom.


Record 26
Material: TaRh2I
Method: DFT, PBE-GGA
State: optimized geometry

Structure (POSCAR):
```
TaRh2I
1.0
-3.0724 3.0724 5.3135
3.0724 -3.0724 5.3135
3.0724 3.0724 -5.3135
Ta Rh I
2 4 2
direct
0.0000 0.0000 0.0000 Ta
0.7500 0.2500 0.5000 Ta
0.0973 0.6250 0.9723 Rh
0.3750 0.3473 0.4723 Rh
0.6527 0.1250 0.0277 Rh
0.8750 0.9027 0.5277 Rh
0.2500 0.7500 0.5000 I
0.5000 0.5000 0.0000 I
```

Summary:
The energy above the most stable polymorph in this dataset is 0.000 eV per atom. Its crystal system is tetragonal. As for the symmetry: I-42d, No. 122. The total energy is -0.2429 hartree per atom.


no.,M_tot (μB/f.u.)
1,0.0
2,0.0
3,0.0
4,0.2
5,0.0
6,0.0
7,0.0
8,0.6
9,0.0
10,0.0
11,0.0
12,0.0
13,0.0
14,0.0
15,3.0
16,0.0
17,0.0
18,3.6
19,0.0
20,0.0
21,0.0
22,0.0
23,0.0
24,0.0
25,1.0
26,0.0